P.
An optimized crystal structure of CdSb2Ir, computed with PBE.

Cell lengths 4.941, 4.941, 4.941 Å; angles 60.00, 60.00, 60.00 degrees
Element x y z (fractional)
Cd1 0.000 0.000 0.000
Sb1 0.250 0.250 0.250
Sb2 0.750 0.750 0.750
Ir1 0.500 0.500 0.500

Properties
The value obtained for the density of states at the Fermi level is 0.759 states/eV per atom. Its crystal system is cubic. As for the space group: Fm-3m (225).

=====

Q.
An optimized crystal structure of CdSb2Ir, computed with PBE.

Cell lengths 3.970, 3.970, 7.583 Å; angles 104.86, 104.86, 60.03 degrees
Element x y z (fractional)
Cd1 0.000 0.000 0.000
Sb1 0.229 0.229 0.691
Sb2 0.771 0.771 0.309
Ir1 0.500 0.500 0.500

Properties
The value obtained for the density of states at the Fermi level is 0.286 states/eV per atom. Its crystal system is monoclinic. As for the space group: C2/m (12).

=====

Relative energy of each structure, in meV/atom: P 349; Q 0.

=====

P.
An optimized crystal structure of Y2TcBr, computed with PBE.

Cell lengths 3.509, 3.509, 8.265 Å; angles 98.19, 98.19, 80.54 degrees
Element x y z (fractional)
Y1 0.060 0.060 0.203
Y2 0.940 0.940 0.797
Tc1 0.500 0.500 0.000
Br1 0.500 0.500 0.500

Properties
The value obtained for the density of states at the Fermi level is 0.408 states/eV per atom. Its crystal system is monoclinic. As for the space group: C2/m (12).

=====

Q.
An optimized crystal structure of Y2TcBr, computed with PBE.

Cell lengths 10.240, 10.240, 10.240 Å; angles 19.70, 19.70, 19.70 degrees
Element x y z (fractional)
Y1 0.000 0.000 0.000
Y2 0.230 0.230 0.230
Tc1 0.736 0.736 0.736
Br1 0.494 0.494 0.494

Properties
The value obtained for the density of states at the Fermi level is 1.250 states/eV per atom. Its crystal system is trigonal. As for the space group: R3m (160).

=====

Relative energy of each structure, in meV/atom: P 0; Q 754.

=====

P.
An optimized crystal structure of HfTi2Tl, computed with PBE.

Cell lengths 4.782, 4.782, 4.782 Å; angles 60.00, 60.00, 60.00 degrees
Element x y z (fractional)
Hf1 0.000 0.000 0.000
Ti1 0.250 0.250 0.250
Ti2 0.750 0.750 0.750
Tl1 0.500 0.500 0.500

Properties
The value obtained for the density of states at the Fermi level is 1.136 states/eV per atom. Its crystal system is cubic. As for the space group: Fm-3m (225).

=====

Q.
An optimized crystal structure of HfTi2Tl, computed with PBE.

Cell lengths 3.323, 3.323, 7.213 Å; angles 90.00, 90.00, 90.00 degrees
Element x y z (fractional)
Hf1 0.000 0.000 0.000
Ti1 0.500 0.500 0.247
Ti2 0.500 0.500 0.753
Tl1 0.000 0.000 0.500

Properties
The value obtained for the density of states at the Fermi level is 1.158 states/eV per atom. Its crystal system is tetragonal. As for the space group: P4/mmm (123).

=====

Relative energy of each structure, in meV/atom: P 93; Q 0.